Entry from Alexandria via LeMat-Bulk: a crystal of ReTcS2 relaxed with PBEsol (meta-GGA SCAN).

```
4
Lattice="4.156 0.000 0.000 2.078 3.600 0.000 2.078 1.200 3.394" Properties=species:S:1:pos:R:3 pbc="T T T"
Tc 0.000 0.000 0.000
S 2.078 1.200 0.848
Re 4.156 2.400 1.697
S 6.235 3.600 2.545
```

Values from the calculation:
- calculated volume (Å³/atom) = 12.693
- energy (eV per atom) = -31.05

---

Entry from Alexandria via LeMat-Bulk: a crystal of Cs2NaTlCl6 relaxed with PBEsol (meta-GGA SCAN).

```
10
Lattice="7.492 0.000 0.000 3.746 6.488 0.000 3.746 2.163 6.117" Properties=species:S:1:pos:R:3 pbc="T T T"
Cl 5.667 5.379 1.568
Cl 7.492 6.433 4.549
Cl 5.667 3.272 4.549
Cs 3.746 2.163 1.529
Tl 7.492 4.326 3.059
Cl 7.492 2.218 1.568
Cl 9.317 3.272 4.549
Na 0.000 0.000 0.000
Cs 11.238 6.488 4.588
Cl 9.317 5.379 1.568
```

Values from the calculation:
- calculated volume (Å³/atom) = 29.738
- energy (eV per atom) = -21.68

---

Entry from Alexandria via LeMat-Bulk: a crystal of HgPF2 relaxed with PBEsol (meta-GGA SCAN).

```
4
Lattice="4.276 0.000 0.000 2.138 3.703 0.000 2.138 1.234 3.491" Properties=species:S:1:pos:R:3 pbc="T T T"
P 0.000 0.000 0.000
Hg 4.276 2.469 1.746
F 6.413 3.703 2.618
F 2.138 1.234 0.873
```

Values from the calculation:
- calculated volume (Å³/atom) = 13.817
- offset from the most stable computed form (eV/atom) = 0.993
- energy (eV per atom) = -21.61

---

Entry from Alexandria via LeMat-Bulk: a crystal of Li2ScCd2 relaxed with PBEsol (meta-GGA SCAN).

```
10
Lattice="3.054 0.000 0.000 0.000 7.733 0.000 0.000 0.000 7.733" Properties=species:S:1:pos:R:3 pbc="T T T"
Cd 1.527 6.323 2.457
Sc 0.000 0.000 0.000
Cd 1.527 1.410 5.276
Cd 1.527 2.457 1.410
Li 0.000 0.910 2.957
Li 0.000 2.957 6.823
Li 0.000 6.823 4.776
Cd 1.527 5.276 6.323
Sc 0.000 3.866 3.866
Li 0.000 4.776 0.910
```

Values from the calculation:
- calculated volume (Å³/atom) = 18.262
- energy (eV per atom) = -16.22

---

Entry from Alexandria via LeMat-Bulk: a crystal of YRe2RhN relaxed with PBEsol (meta-GGA SCAN).

```
5
Lattice="4.684 0.000 0.000 0.000 4.848 0.000 0.000 0.000 4.848" Properties=species:S:1:pos:R:3 pbc="T T T"
N 2.342 2.424 2.424
Rh 2.342 0.000 0.000
Re 0.000 0.000 2.424
Y 0.000 0.000 0.000
Re 0.000 2.424 0.000
```

Values from the calculation:
- calculated volume (Å³/atom) = 22.017
- energy (eV per atom) = -38.77

---

Entry from Alexandria via LeMat-Bulk: a crystal of ZnCo2W relaxed with PBEsol (meta-GGA SCAN).

```
4
Lattice="3.752 0.000 0.000 -1.876 3.870 -0.001 0.000 -1.818 3.282" Properties=species:S:1:pos:R:3 pbc="T T T"
Co 1.876 1.481 0.820
Co 0.000 0.571 2.461
W 1.876 -0.909 1.641
Zn 0.000 0.000 0.000
```

Values from the calculation:
- calculated volume (Å³/atom) = 11.912
- energy (eV per atom) = -29.33

---

Repeat the second record exactly.
Entry from Alexandria via LeMat-Bulk: a crystal of Cs2NaTlCl6 relaxed with PBEsol (meta-GGA SCAN).

```
10
Lattice="7.492 0.000 0.000 3.746 6.488 0.000 3.746 2.163 6.117" Properties=species:S:1:pos:R:3 pbc="T T T"
Cl 5.667 5.379 1.568
Cl 7.492 6.433 4.549
Cl 5.667 3.272 4.549
Cs 3.746 2.163 1.529
Tl 7.492 4.326 3.059
Cl 7.492 2.218 1.568
Cl 9.317 3.272 4.549
Na 0.000 0.000 0.000
Cs 11.238 6.488 4.588
Cl 9.317 5.379 1.568
```

Values from the calculation:
- calculated volume (Å³/atom) = 29.738
- energy (eV per atom) = -21.68

---

Q: Which formula does entry 2 have?
A: Cs2NaTlCl6